## MoOs2 (SCAN)

Data for a PBEsol-optimized structure of MoOs2.

Cell: 2.7361 5.1918 6.4887 Å, 103.36 90.00 105.28°
Atoms (fractional coordinates):
Os 0.3017 0.6034 0.8610
Os 0.3579 0.7157 0.4733
Os 0.6421 0.2843 0.5267
Os 0.6983 0.3966 0.1390
Mo 0.9698 0.9396 0.1964
Mo 0.0302 0.0604 0.8036

Results
DFT formation energy: -0.0260 eV/atom
Size of the total moment: 0.0 μB per cell
Space group: C2/m, No. 12
Energy above the lowest structure with this stoichiometry: 0.0 meV per atom

---

## Dy2GeO5 (SCAN)

Data for a PBEsol-optimized structure of Dy2GeO5.

Cell: 6.7680 8.1725 9.5989 Å, 70.54 69.36 65.54°
Atoms (fractional coordinates):
Dy 0.2083 0.6073 0.4611
Dy 0.9983 0.4376 0.8348
Dy 0.7233 0.1073 0.9611
Dy 0.2708 0.0624 0.6652
Dy 0.0017 0.5624 0.1652
Dy 0.7292 0.9376 0.3348
Dy 0.7917 0.3927 0.5389
Dy 0.2767 0.8927 0.0389
O 0.9162 0.0894 0.6816
O 0.4223 0.0264 0.1378
O 0.0417 0.2823 0.3268
O 0.6872 0.4106 0.8184
O 0.7750 0.5449 0.0462
O 0.8844 0.6364 0.3992
O 0.3492 0.7823 0.8268
O 0.3128 0.5894 0.1816
O 0.5865 0.4736 0.3622
O 0.0800 0.1364 0.8992
O 0.2250 0.4551 0.9538
O 0.3660 0.9551 0.4538
O 0.1156 0.3636 0.6008
O 0.6508 0.2177 0.1732
O 0.9583 0.7177 0.6732
O 0.0838 0.9106 0.3184
O 0.4135 0.5264 0.6378
O 0.6340 0.0449 0.5462
O 0.9200 0.8636 0.1008
O 0.5777 0.9736 0.8622
Ge 0.4095 0.5600 0.8107
Ge 0.7802 0.9400 0.6893
Ge 0.2198 0.0600 0.3107
Ge 0.5905 0.4400 0.1893

Results
Size of the total moment: 0.0 μB per cell
Formation energy without anion corrections: -3197 meV per atom
Space group: C2/c, No. 15

---

## HfSnHg3 (SCAN)

Data for a PBEsol-optimized structure of HfSnHg3.

Cell: 5.3568 5.3568 5.3568 Å, 90.00 90.00 90.00°
Atoms (fractional coordinates):
Hg 0.5000 0.0000 0.0000
Hg 0.0000 0.0000 0.5000
Hg 0.0000 0.5000 0.0000
Hf 0.0000 0.0000 0.0000
Sn 0.5000 0.5000 0.5000

Results
DFT formation energy: 0.5822 eV/atom
Size of the total moment: 0.0 μB per cell
Space group: Pm-3m, No. 221

---

## Cr2NiIr (SCAN)

Data for a PBEsol-optimized structure of Cr2NiIr.

Cell: 2.5904 4.0644 4.4755 Å, 90.00 90.00 90.00°
Last column: magnetic moment on the atom in μB.
Atoms (fractional coordinates):
Ni 0.5000 0.5000 0.1947  0.17
Ir 0.5000 0.0000 0.5405  0.02
Cr 0.0000 0.0000 0.0459  1.66
Cr 0.0000 0.5000 0.7189  -1.57

Results
DFT formation energy: -0.1428 eV/atom
Size of the total moment: 0.3 μB per cell
Space group: Pmm2, No. 25